No. 1
GGA-PBEsol HgSbPb2, relaxed; E_form (uncorrected) = 73 meV per atom; N(E_F) = 0.4808 states/eV/atom
1.0
3.4081 0.0000 0.0000
1.7041 2.9515 0.0000
1.7041 0.9838 10.8632
Pb Sb Hg
2 1 1
Direct
0.9951 0.9951 0.0147 Pb
0.7523 0.7523 0.7430 Pb
0.5044 0.5044 0.4868 Sb
0.2482 0.2482 0.2555 Hg



No. 2
GGA-PBEsol HgSb2Pb, relaxed; E_form (uncorrected) = 150 meV per atom; N(E_F) = 0.1802 states/eV/atom
1.0
-3.6419 -4.7423 2.7469
1.7794 -4.1426 -4.7928
6.1185 2.5312 4.6008
Pb Sb Hg
2 4 2
Direct
0.2500 0.7500 0.5000 Pb
0.0000 0.0000 0.0000 Pb
0.3924 0.8750 0.2500 Sb
0.8576 0.3750 0.2500 Sb
0.1250 0.1424 0.7500 Sb
0.6250 0.6076 0.7500 Sb
0.7500 0.2500 0.5000 Hg
0.5000 0.5000 0.0000 Hg



No. 3
GGA-PBEsol HgSbPb2, relaxed; E_form (uncorrected) = 23 meV per atom; N(E_F) = 0.5575 states/eV/atom
1.0
5.0824 0.0000 0.0000
-2.5412 4.9605 -0.0040
0.0000 2.6072 4.3628
Pb Sb Hg
2 1 1
Direct
0.2500 0.5000 0.2500 Pb
0.7500 0.5000 0.7500 Pb
0.5000 0.0000 0.5000 Sb
0.0000 0.0000 0.0000 Hg



No. 4
GGA-PBEsol Hg2SbPb, relaxed; E_form (uncorrected) = 60 meV per atom; N(E_F) = 0.4502 states/eV/atom
1.0
3.4529 0.0000 0.0000
0.0000 5.7413 0.0000
-1.7265 -2.8706 5.2502
Pb Sb Hg
1 1 2
Direct
0.5000 0.0000 0.0000 Pb
0.0000 0.5000 0.0000 Sb
0.7444 0.7444 0.4887 Hg
0.2556 0.2556 0.5113 Hg



No. 5
GGA-PBEsol HgSbPb2, relaxed; E_form (uncorrected) = 35 meV per atom; N(E_F) = 0.4521 states/eV/atom
1.0
3.9654 0.0000 0.0000
0.0000 3.9654 0.0000
0.0000 0.0000 7.0074
Pb Sb Hg
2 1 1
Direct
0.0000 0.0000 0.9643 Pb
0.5000 0.5000 0.2820 Pb
0.0000 0.0000 0.5073 Sb
0.5000 0.5000 0.7464 Hg



No. 6
GGA-PBEsol HgSbPb2, relaxed; E_form (uncorrected) = 36 meV per atom; N(E_F) = 0.4558 states/eV/atom
1.0
3.4720 0.0000 0.0000
0.0000 5.6818 -0.4898
-1.7360 -1.3771 5.6630
Pb Sb Hg
2 1 1
Direct
0.0129 0.0430 0.0259 Pb
0.2408 0.7144 0.4815 Pb
0.4868 0.5212 0.9735 Sb
0.7596 0.2214 0.5191 Hg



No. 7
GGA-PBEsol Hg2SbPb, relaxed; E_form (uncorrected) = 51 meV per atom; N(E_F) = 0.3975 states/eV/atom
1.0
-3.2852 2.7354 -1.1216
-1.7780 -3.1676 -2.5174
-0.2699 -1.4682 5.9176
Pb Sb Hg
1 1 2
Direct
0.5000 0.5000 0.0000 Pb
0.2500 0.7500 0.5000 Sb
0.0000 0.0000 0.0000 Hg
0.7500 0.2500 0.5000 Hg



No. 8
GGA-PBEsol HgSb2Pb, relaxed; E_form (uncorrected) = 95 meV per atom; N(E_F) = 0.5862 states/eV/atom
1.0
4.1462 0.0000 0.0000
0.0000 4.7191 0.0000
0.0000 0.0000 5.5000
Hg Pb Sb
1 1 2
Direct
0.5000 0.0000 0.5000 Hg
0.0000 0.5000 0.5000 Pb
0.0000 0.0000 0.0000 Sb
0.5000 0.5000 0.0000 Sb



No. 9
GGA-PBEsol HgSbPb2, relaxed; E_form (uncorrected) = 51 meV per atom; N(E_F) = 0.5119 states/eV/atom
1.0
-2.4257 -2.3475 -0.6027
1.2997 -0.5402 -3.1268
5.5075 -6.5702 3.4243
Pb Sb Hg
2 1 1
Direct
0.0000 0.0000 0.7402 Pb
0.0000 0.0000 0.2598 Pb
0.5000 0.5000 0.0000 Sb
0.5000 0.5000 0.5000 Hg



No. 10
GGA-PBEsol HgSbPb2, relaxed; E_form (uncorrected) = 48 meV per atom; N(E_F) = 0.4931 states/eV/atom
1.0
-3.2139 0.2862 0.0057
-0.0074 -0.1915 5.4215
1.2724 6.2142 0.2212
Pb Sb Hg
2 1 1
Direct
0.1126 0.0000 0.9887 Pb
0.6241 0.5000 0.2556 Pb
0.4142 0.0000 0.5071 Sb
0.3490 0.5000 0.7485 Hg



No. 11
GGA-PBEsol HgSb2Pb, relaxed; E_form (uncorrected) = 71 meV per atom; N(E_F) = 0.4464 states/eV/atom
1.0
-1.8687 -2.4017 -0.8738
-0.5176 -1.3124 4.7145
-5.7185 4.1236 0.5201
Pb Sb Hg
1 2 1
Direct
0.0785 0.5000 0.2750 Pb
0.9197 0.0000 0.9879 Sb
0.9615 0.5000 0.7422 Sb
0.5404 0.0000 0.4949 Hg



No. 12
GGA-PBEsol Hg2SbPb, relaxed; E_form (uncorrected) = 59 meV per atom; N(E_F) = 0.4654 states/eV/atom
1.0
4.8448 0.0000 0.0000
0.0000 4.8448 0.0000
-2.4224 -2.4224 4.3323
Pb Sb Hg
1 1 2
Direct
0.5000 0.5000 0.0000 Pb
0.0000 0.0000 0.0000 Sb
0.7500 0.2500 0.5000 Hg
0.2500 0.7500 0.5000 Hg



No. 13
GGA-PBEsol Hg2SbPb, relaxed; E_form (uncorrected) = 57 meV per atom; N(E_F) = 0.5112 states/eV/atom
1.0
3.2084 0.0000 0.0000
0.0000 5.3938 0.0000
0.0000 0.0000 6.1162
Pb Sb Hg
1 1 2
Direct
0.0000 0.0000 0.5410 Pb
0.5000 0.5000 0.7106 Sb
0.0000 0.0000 0.0407 Hg
0.5000 0.5000 0.2077 Hg



No. 14
GGA-PBEsol HgSb2Pb, relaxed; E_form (uncorrected) = 97 meV per atom; N(E_F) = 0.5773 states/eV/atom
1.0
3.1444 0.0000 -0.0775
0.0000 5.6286 0.0000
-1.6148 0.0000 6.1629
Hg Pb Sb
1 1 2
Direct
0.5000 0.5000 0.0000 Hg
0.5000 0.5000 0.5000 Pb
0.8642 0.0000 0.7614 Sb
0.1358 0.0000 0.2386 Sb



No. 15
GGA-PBEsol HgSbPb2, relaxed; E_form (uncorrected) = 70 meV per atom; N(E_F) = 0.5406 states/eV/atom
1.0
-2.8404 1.8203 -0.5452
-2.9708 -1.5946 -0.5571
-3.9526 0.1152 10.2660
Pb Sb Hg
2 1 1
Direct
0.2516 0.2516 0.2453 Pb
0.7484 0.7484 0.7547 Pb
0.5000 0.5000 0.5000 Sb
0.0000 0.0000 0.0000 Hg



No. 16
GGA-PBEsol HgSbPb2, relaxed; E_form (uncorrected) = 12 meV per atom; N(E_F) = 0.4262 states/eV/atom
1.0
-2.0175 -2.5411 2.1676
1.7548 -2.9607 -1.8376
5.2831 0.0460 4.9712
Pb Sb Hg
2 1 1
Direct
0.0000 0.0000 0.7546 Pb
0.0000 0.0000 0.2454 Pb
0.5000 0.5000 0.0000 Sb
0.5000 0.5000 0.5000 Hg



No. 17
GGA-PBEsol Hg2SbPb, relaxed; E_form (uncorrected) = 36 meV per atom; N(E_F) = 0.4219 states/eV/atom
1.0
5.2872 0.0000 0.0000
2.6436 4.5789 0.0000
2.6436 1.5263 4.3170
Pb Sb Hg
1 1 2
Direct
0.5000 0.5000 0.5000 Pb
0.2500 0.2500 0.2500 Sb
0.0000 0.0000 0.0000 Hg
0.7500 0.7500 0.7500 Hg



No. 18
GGA-PBEsol Hg2SbPb, relaxed; E_form (uncorrected) = 56 meV per atom; N(E_F) = 0.4471 states/eV/atom
1.0
3.2093 0.0000 0.1858
0.0000 5.3764 0.0000
-1.1659 0.0000 6.0314
Pb Sb Hg
1 1 2
Direct
0.0406 0.0000 0.5352 Pb
0.4979 0.5000 0.7185 Sb
0.9657 0.0000 0.0319 Hg
0.4958 0.5000 0.2145 Hg



No. 19
GGA-PBEsol Hg2SbPb, relaxed; E_form (uncorrected) = 81 meV per atom; N(E_F) = 0.5308 states/eV/atom
1.0
3.3479 0.0000 0.0000
1.6740 2.8994 0.0000
1.6740 0.9665 10.5853
Hg Pb Sb
2 1 1
Direct
0.2515 0.2515 0.2456 Hg
0.7485 0.7485 0.7544 Hg
0.5000 0.5000 0.5000 Pb
0.0000 0.0000 0.0000 Sb



No. 20
GGA-PBEsol HgSbPb2, relaxed; E_form (uncorrected) = 31 meV per atom; N(E_F) = 0.3634 states/eV/atom
1.0
-1.4045 1.2337 -4.2055
-0.0717 -4.4221 -1.2733
-4.2100 1.2294 4.2849
Pb Sb Hg
2 1 1
Direct
0.0000 0.0000 0.0000 Pb
0.7500 0.2500 0.5000 Pb
0.5000 0.5000 0.0000 Sb
0.2500 0.7500 0.5000 Hg



No. 21
GGA-PBEsol HgSbPb2, relaxed; E_form (uncorrected) = 52 meV per atom; N(E_F) = 0.4806 states/eV/atom
1.0
-1.6700 1.0014 -2.7225
-0.0629 -3.3407 0.1979
-8.7297 0.4924 5.5359
Pb Sb Hg
2 1 1
Direct
0.0000 0.0000 0.2461 Pb
0.0000 0.0000 0.7539 Pb
0.5000 0.5000 0.5000 Sb
0.5000 0.5000 0.0000 Hg



No. 22
GGA-PBEsol HgSbPb2, relaxed; E_form (uncorrected) = 54 meV per atom; N(E_F) = 0.4748 states/eV/atom
1.0
3.2905 0.0000 0.0000
-1.6453 5.2808 0.0318
0.0000 -0.7711 6.3757
Pb Sb Hg
2 1 1
Direct
0.7496 0.4993 0.7583 Pb
0.2504 0.5007 0.2417 Pb
0.0000 0.0000 0.5000 Sb
0.5000 0.0000 0.0000 Hg



No. 23
GGA-PBEsol Hg2SbPb, relaxed; E_form (uncorrected) = 59 meV per atom; N(E_F) = 0.4386 states/eV/atom
1.0
-2.9472 0.6591 -1.4579
-0.7901 -2.1805 2.4222
-1.3679 7.1665 6.0051
Pb Sb Hg
1 1 2
Direct
0.0000 0.0000 0.5046 Pb
0.5000 0.5000 0.2413 Sb
0.0000 0.0000 0.9916 Hg
0.5000 0.5000 0.7625 Hg



No. 24
GGA-PBEsol ScHgSbPb2, relaxed; E_form (uncorrected) = 231 meV per atom; N(E_F) = 0.9189 states/eV/atom
1.0
-0.2527 4.5930 2.7273
-5.5110 -0.5798 0.4659
0.6958 -2.7886 4.7607
Pb Sb Sc Hg
2 1 1 1
Direct
0.0000 0.0000 0.5000 Pb
0.0000 0.5000 0.0000 Pb
0.5000 0.0000 0.0000 Sb
0.0000 0.0000 0.0000 Sc
0.5000 0.5000 0.5000 Hg



No. 25
GGA-PBEsol Sc2HgPb, relaxed; energy relative to the elements = -1.84 eV/f.u.; N(E_F) = 0.8630 states/eV/atom
1.0
-0.7092 -2.5070 2.0059
3.9125 -0.9008 0.2574
0.5816 4.0207 5.2306
Pb Sc Hg
1 2 1
Direct
0.5000 0.5000 0.5000 Pb
0.0000 0.0000 0.7574 Sc
0.0000 0.0000 0.2426 Sc
0.5000 0.5000 0.0000 Hg



No. 26
GGA-PBEsol Sc2HgPb, relaxed; energy relative to the elements = -0.87 eV/f.u.; N(E_F) = 0.7334 states/eV/atom
1.0
3.4101 0.0000 0.0000
0.0000 3.4101 0.0000
0.0000 0.0000 8.1008
Hg Pb Sc
1 1 2
Direct
0.0000 0.0000 0.4759 Hg
0.5000 0.5000 0.7455 Pb
0.0000 0.0000 0.0120 Sc
0.5000 0.5000 0.2667 Sc



No. 27
GGA-PBEsol ScHg2Pb, relaxed; energy relative to the elements = -1.00 eV/f.u.; N(E_F) = 0.5245 states/eV/atom
1.0
-3.2599 -0.2494 0.5305
0.6805 -4.8661 1.8932
1.9371 4.5355 3.6957
Pb Sc Hg
1 1 2
Direct
0.0000 0.5000 0.0000 Pb
0.5000 0.0000 0.0000 Sc
0.2294 0.2298 0.4589 Hg
0.7706 0.7702 0.5411 Hg



No. 28
GGA-PBEsol Sc2Hg2Pb, relaxed; energy relative to the elements = -1.91 eV/f.u.; N(E_F) = 0.7911 states/eV/atom
1.0
3.5106 0.0000 0.0000
0.0000 8.0095 0.0000
0.0000 0.0000 8.0095
Pb Sc Hg
2 4 4
Direct
0.0000 0.0000 0.0000 Pb
0.0000 0.5000 0.5000 Pb
0.5000 0.1690 0.6690 Sc
0.5000 0.6690 0.8310 Sc
0.5000 0.8310 0.3310 Sc
0.5000 0.3310 0.1690 Sc
0.0000 0.3715 0.8715 Hg
0.0000 0.8715 0.6285 Hg
0.0000 0.6285 0.1285 Hg
0.0000 0.1285 0.3715 Hg



No. 29
GGA-PBEsol Sc2HgPb, relaxed; energy relative to the elements = -1.78 eV/f.u.; N(E_F) = 0.9057 states/eV/atom
1.0
3.2874 0.0000 0.0000
0.0000 5.2071 0.0551
0.0000 -1.1161 5.0864
Pb Sc Hg
1 2 1
Direct
0.5000 0.0000 0.0000 Pb
0.0000 0.0000 0.5000 Sc
0.0000 0.5000 0.0000 Sc
0.5000 0.5000 0.5000 Hg



No. 30
GGA-PBEsol ScHg2Pb, relaxed; energy relative to the elements = -0.80 eV/f.u.; N(E_F) = 0.6739 states/eV/atom
1.0
-0.6105 0.2241 3.3922
-1.0710 -2.7790 1.7493
8.3236 -3.1726 3.4659
Pb Sc Hg
1 1 2
Direct
0.5000 0.5000 0.5000 Pb
0.0000 0.0000 0.0000 Sc
0.2579 0.2579 0.2264 Hg
0.7421 0.7421 0.7736 Hg